Entry 1:
SrGaGe2O after structural relaxation, computed with GGA-PBE. Values from VASP.

Calculated values
ΔE_f (raw), eV/atom: -0.235
VASP energy, eV/atom: -4.016
Symmetry: P4/mmm

Structure (Quantum ESPRESSO input):
```
&SYSTEM
  ibrav = 0, nat = 5, ntyp = 4
/
ATOMIC_SPECIES
Sr 87.62 Sr.upf
Ga 69.72 Ga.upf
Ge 72.64 Ge.upf
O 16.00 O.upf
CELL_PARAMETERS angstrom
5.4570 0.0000 0.0000
0.0000 5.4570 0.0000
0.0000 0.0000 3.7312
ATOMIC_POSITIONS crystal
Sr 0.0000 0.0000 0.0000
Ga 0.5000 0.5000 0.5000
Ge 0.0000 0.5000 0.5000
Ge 0.5000 0.0000 0.5000
O 0.5000 0.5000 0.0000
```

=====

Entry 2:
TaGaGe2O8 after structural relaxation, computed with GGA-PBE. Values from VASP.

Calculated values
ΔE_f (raw), eV/atom: -1.895
VASP energy, eV/atom: -7.210
Symmetry: I-4m2

Structure (Quantum ESPRESSO input):
```
&SYSTEM
  ibrav = 0, nat = 12, ntyp = 4
/
ATOMIC_SPECIES
Ta 180.95 Ta.upf
Ga 69.72 Ga.upf
Ge 72.64 Ge.upf
O 16.00 O.upf
CELL_PARAMETERS angstrom
-3.2311 3.2311 3.1814
3.2311 -3.2311 3.1814
3.2311 3.2311 -3.1814
ATOMIC_POSITIONS crystal
Ta 0.0000 0.0000 0.0000
Ga 0.7500 0.2500 0.5000
Ge 0.2500 0.7500 0.5000
Ge 0.5000 0.5000 0.0000
O 0.0623 0.3653 0.3030
O 0.0623 0.7592 0.6970
O 0.1071 0.2979 0.8092
O 0.2408 0.9377 0.3030
O 0.4887 0.2979 0.1908
O 0.6347 0.9377 0.6970
O 0.7021 0.5113 0.8092
O 0.7021 0.8929 0.1908
```

=====

Entry 3:
Tl2GaGeO4 after structural relaxation, computed with GGA-PBE. Values from VASP.

Calculated values
ΔE_f (raw), eV/atom: -1.118
VASP energy, eV/atom: -5.144
Symmetry: Fddd

Structure (Quantum ESPRESSO input):
```
&SYSTEM
  ibrav = 0, nat = 16, ntyp = 4
/
ATOMIC_SPECIES
Tl 204.38 Tl.upf
Ga 69.72 Ga.upf
Ge 72.64 Ge.upf
O 16.00 O.upf
CELL_PARAMETERS angstrom
0.0000 5.8636 11.6650
2.6217 0.0000 11.6650
2.6217 5.8636 0.0000
ATOMIC_POSITIONS crystal
Tl 0.0185 0.0185 0.7315
Tl 0.2685 0.2685 0.9815
Tl 0.7315 0.7315 0.0185
Tl 0.9815 0.9815 0.2685
Ga 0.1250 0.1250 0.1250
Ga 0.8750 0.8750 0.8750
Ge 0.3750 0.3750 0.3750
Ge 0.6250 0.6250 0.6250
O 0.0205 0.6459 0.5787
O 0.2548 0.5787 0.6459
O 0.3541 0.9795 0.7452
O 0.4213 0.7452 0.9795
O 0.5787 0.2548 0.0205
O 0.6459 0.0205 0.2548
O 0.7452 0.4213 0.3541
O 0.9795 0.3541 0.4213
```